First-principles (PBE-GGA) data for a geometry-optimized NaUNb structure, as listed in the Open Quantum Materials Database.

abc: 6.517 6.517 6.517
angles: 90.00 90.00 90.00
Space group F-43m (No. 216)
Symmetry-distinct sites (fractional):
Na: 0.000 0.000 0.000 (multiplicity 4)
U: 0.000 0.000 0.500 (multiplicity 4)
Nb: 0.250 0.250 0.250 (multiplicity 4)

Summary:
**Uncorrected energy**: -0.220 hartree per atom
**M_tot**: 0.3 μB per cell
**Offset from the most stable computed form**: 0 meV per atom